(1)
Computed, not measured: a relaxed structure of Mg2TlBi3 at the PBE level of DFT.

**Electronic total energy**: -2.95 eV per atom
**Symmetry**: P4/mmm, No. 123
**Formation enthalpy at 0 K**: -81 meV per atom

Cell: 3.450 3.450 14.603 Å, 90.00 90.00 90.00°
Positions (direct):
Mg 0.500 0.500 0.842
Mg 0.500 0.500 0.158
Tl 0.500 0.500 0.500
Bi 0.000 0.000 0.000
Bi 0.000 0.000 0.695
Bi 0.000 0.000 0.305

(2)
Computed, not measured: a relaxed structure of NbNiAs2Se at the PBE level of DFT.

**Electronic total energy**: -5.20 eV per atom
**Symmetry**: P4/mmm, No. 123
**Formation energy (no corrections)**: 2.6 eV per formula unit

Cell: 4.498 4.498 4.720 Å, 90.00 90.00 90.00°
Positions (direct):
Ni 0.000 0.000 0.000
Nb 0.500 0.500 0.500
As 0.000 0.500 0.000
As 0.500 0.000 0.000
Se 0.000 0.000 0.500